Sr4SbPt | GGA-PBE | relaxed

Cell lengths 6.6303, 6.6303, 6.6303 Å; angles 60.00, 60.00, 60.00 degrees
Sites, in units of the cell vectors:
Sb 0.0000 0.0000 0.0000
Sr 0.3750 0.3750 0.3750
Sr 0.3750 0.8751 0.3750
Sr 0.3750 0.3750 0.8751
Sr 0.8751 0.3750 0.3750
Pt 0.7500 0.7500 0.7500

Computed properties:
calculated volume: 206 Å³/cell
final energy: -2.497 eV/atom
total magnetization: 0.0004 μB per atom
formation energy (no corrections): 0.318 eV per atom

=====

SrSbPt10 | GGA-PBE | relaxed

Cell lengths 4.4772, 5.4223, 9.3077 Å; angles 90.00, 90.00, 90.00 degrees
Sites, in units of the cell vectors:
Pt 0.5000 0.7512 0.7497
Pt 0.5000 0.2488 0.7497
Pt 0.0000 0.5000 0.1848
Pt 0.0000 0.0000 0.6581
Pt 0.5000 0.7512 0.2503
Pt 0.0000 0.0000 0.3419
Pt 0.5000 0.2488 0.2503
Pt 0.0000 0.5000 0.8152
Pt 0.5000 0.5000 0.0000
Pt 0.5000 0.0000 0.5000
Sb 0.0000 0.5000 0.5000
Sr 0.0000 0.0000 0.0000

Computed properties:
calculated volume: 226 Å³/cell
final energy: -5.771 eV/atom
total magnetization: 0.0000 μB per atom
formation energy (no corrections): -0.253 eV per atom

=====

Sr2Sb3Pt2 | GGA-PBE | relaxed

Cell lengths 4.5152, 6.0878, 7.6016 Å; angles 107.85, 90.00, 111.77 degrees
Sites, in units of the cell vectors:
Pt 0.8534 0.7068 0.7305
Pt 0.1466 0.2932 0.2695
Sb 0.3761 0.7521 0.5488
Sb 0.5000 0.0000 0.0000
Sb 0.6239 0.2479 0.4512
Sr 0.1504 0.3007 0.7996
Sr 0.8496 0.6993 0.2004

Computed properties:
calculated volume: 183 Å³/cell
final energy: -4.680 eV/atom
total magnetization: 0.0000 μB per atom
ΔE to the lowest computed polymorph: 0.26 eV per formula unit
formation energy (no corrections): -0.707 eV per atom

=====

SrSbPt2 | GGA-PBE | relaxed

Cell lengths 4.4861, 5.9974, 7.1400 Å; angles 90.00, 90.00, 111.96 degrees
Sites, in units of the cell vectors:
Sb 0.7730 0.5460 0.7500
Sb 0.2270 0.4540 0.2500
Pt 0.3703 0.7406 0.5576
Pt 0.6297 0.2594 0.4424
Pt 0.6297 0.2594 0.0576
Pt 0.3703 0.7406 0.9424
Sr 0.9390 0.8781 0.2500
Sr 0.0610 0.1219 0.7500

Computed properties:
calculated volume: 178 Å³/cell
final energy: -5.165 eV/atom
total magnetization: 0.0000 μB per atom
formation energy (no corrections): -0.693 eV per atom

=====

SrSb2Pt | GGA-PBE | relaxed

Cell lengths 5.2661, 5.2661, 5.2661 Å; angles 60.00, 60.00, 60.00 degrees
Sites, in units of the cell vectors:
Sr 0.7500 0.7500 0.7500
Pt 0.5000 0.5000 0.5000
Sb 0.2500 0.2500 0.2500
Sb 0.0000 0.0000 0.0000

Computed properties:
calculated volume: 103 Å³/cell
final energy: -4.239 eV/atom
total magnetization: 0.0000 μB per atom
formation energy (no corrections): -0.247 eV per atom

=====

SrSb2Pt | GGA-PBE | relaxed

Cell lengths 5.8183, 5.8183, 5.8489 Å; angles 64.84, 64.84, 38.19 degrees
Sites, in units of the cell vectors:
Sb 0.5515 0.5515 0.4140
Sb 0.9485 0.9485 0.0860
Sr 0.7500 0.7500 0.7500
Pt 0.2500 0.2500 0.2500

Computed properties:
calculated volume: 109 Å³/cell
final energy: -4.539 eV/atom
total magnetization: 0.0000 μB per atom
formation energy (no corrections): -0.547 eV per atom

=====

SrSb2Pt | GGA-PBE | relaxed

Cell lengths 5.2087, 5.2087, 5.2087 Å; angles 60.00, 60.00, 60.00 degrees
Sites, in units of the cell vectors:
Sb 0.7500 0.7500 0.7500
Sb 0.2500 0.2500 0.2500
Sr 0.0000 0.0000 0.0000
Pt 0.5000 0.5000 0.5000

Computed properties:
calculated volume: 100 Å³/cell
final energy: -4.208 eV/atom
total magnetization: 0.0000 μB per atom
formation energy (no corrections): -0.216 eV per atom

=====

Sr2Sb3Pt2 | GGA-PBE | relaxed

Cell lengths 4.7466, 7.2517, 11.0894 Å; angles 90.00, 102.36, 90.00 degrees
Sites, in units of the cell vectors:
Pt 0.2965 0.4532 0.5930
Pt 0.7035 0.9532 0.4070
Pt 0.2965 0.0468 0.5930
Pt 0.7035 0.5468 0.4070
Sr 0.9727 0.2500 0.9455
Sr 0.8387 0.7500 0.6775
Sr 0.0273 0.7500 0.0545
Sr 0.1613 0.2500 0.3225
Sb 0.2213 0.7500 0.4427
Sb 0.4191 0.9663 0.8382
Sb 0.7787 0.2500 0.5573
Sb 0.4191 0.5337 0.8382
Sb 0.5809 0.0337 0.1618
Sb 0.5809 0.4663 0.1618

Computed properties:
calculated volume: 373 Å³/cell
final energy: -4.718 eV/atom
total magnetization: 0.0000 μB per atom
ΔE to the lowest computed polymorph: 0.00 eV per formula unit
formation energy (no corrections): -0.744 eV per atom

=====

SrSbPt2 | GGA-PBE | relaxed

Cell lengths 5.1735, 5.1735, 9.5964 Å; angles 74.36, 74.36, 90.00 degrees
Sites, in units of the cell vectors:
Pt 0.8750 0.0800 0.7500
Pt 0.8300 0.1250 0.2500
Pt 0.9200 0.6250 0.2500
Pt 0.3750 0.1700 0.7500
Sr 0.5000 0.5000 0.0000
Sr 0.2500 0.7500 0.5000
Sb 0.7500 0.2500 0.5000
Sb 0.0000 0.0000 0.0000

Computed properties:
calculated volume: 237 Å³/cell
final energy: -5.043 eV/atom
total magnetization: 0.0000 μB per atom
formation energy (no corrections): -0.572 eV per atom

=====

SrSb2Pt | GGA-PBE | relaxed

Cell lengths 3.8165, 3.8165, 7.7788 Å; angles 90.00, 90.00, 108.72 degrees
Sites, in units of the cell vectors:
Sb 0.0000 0.0000 0.5511
Sb 0.0000 0.0000 0.9489
Sr 0.5000 0.5000 0.2500
Pt 0.5000 0.5000 0.7500

Computed properties:
calculated volume: 107 Å³/cell
final energy: -4.365 eV/atom
total magnetization: 0.0000 μB per atom
formation energy (no corrections): -0.374 eV per atom

=====

SrSb2Pt | GGA-PBE | relaxed

Cell lengths 5.8342, 5.8342, 5.8342 Å; angles 134.55, 134.55, 66.23 degrees
Sites, in units of the cell vectors:
Pt 0.7500 0.2500 0.5000
Sb 0.2500 0.7500 0.5000
Sb 0.0000 0.0000 0.0000
Sr 0.5000 0.5000 0.0000

Computed properties:
calculated volume: 99 Å³/cell
final energy: -4.338 eV/atom
total magnetization: 0.0000 μB per atom
formation energy (no corrections): -0.347 eV per atom

=====

Sr3SbPt | GGA-PBE | relaxed

Cell lengths 5.7508, 5.7508, 5.7508 Å; angles 90.00, 90.00, 90.00 degrees
Sites, in units of the cell vectors:
Sr 0.0000 0.0000 0.5000
Sr 0.5000 0.0000 0.0000
Sr 0.0000 0.5000 0.0000
Pt 0.0000 0.0000 0.0000
Sb 0.5000 0.5000 0.5000

Computed properties:
calculated volume: 190 Å³/cell
final energy: -3.706 eV/atom
total magnetization: 0.0000 μB per atom
ΔE to the lowest computed polymorph: 0.00 eV per formula unit
formation energy (no corrections): -0.664 eV per atom

=====

Sr2SbPt2 | GGA-PBE | relaxed

Cell lengths 4.6561, 5.9716, 5.9717 Å; angles 58.57, 67.06, 67.06 degrees
Sites, in units of the cell vectors:
Sr 0.3017 0.1983 0.6983
Sr 0.6983 0.8017 0.3017
Sb 0.5000 0.5000 0.0000
Pt 0.0000 0.2341 0.2659
Pt 0.0000 0.7659 0.7341

Computed properties:
calculated volume: 127 Å³/cell
final energy: -4.848 eV/atom
total magnetization: 0.0000 μB per atom
ΔE to the lowest computed polymorph: 0.00 eV per formula unit
formation energy (no corrections): -0.935 eV per atom

=====

SrSb2Pt2 | GGA-PBE | relaxed

Cell lengths 7.8514, 7.8514, 3.7212 Å; angles 90.00, 90.00, 90.00 degrees
Sites, in units of the cell vectors:
Sr 0.5000 0.5000 0.0000
Sr 0.0000 0.0000 0.0000
Pt 0.1257 0.3743 0.0000
Pt 0.8743 0.6257 0.0000
Pt 0.6257 0.1257 0.0000
Pt 0.3743 0.8743 0.0000
Sb 0.8339 0.3339 0.5000
Sb 0.3339 0.1661 0.5000
Sb 0.1661 0.6661 0.5000
Sb 0.6661 0.8339 0.5000

Computed properties:
calculated volume: 229 Å³/cell
final energy: -4.841 eV/atom
total magnetization: 0.0000 μB per atom
formation energy (no corrections): -0.440 eV per atom

=====

SrSb2Pt | GGA-PBE | relaxed

Cell lengths 4.2672, 5.2418, 5.2432 Å; angles 72.27, 90.00, 90.00 degrees
Sites, in units of the cell vectors:
Sr 0.5000 0.2500 0.2500
Sb 0.0000 0.5569 0.5574
Sb 0.0000 0.9431 0.9426
Pt 0.5000 0.7500 0.7500

Computed properties:
calculated volume: 112 Å³/cell
final energy: -4.731 eV/atom
total magnetization: 0.0000 μB per atom
formation energy (no corrections): -0.739 eV per atom

=====

Sr3Sb2Pt | GGA-PBE | relaxed

Cell lengths 4.7419, 12.6627, 12.9004 Å; angles 90.00, 90.00, 90.00 degrees
Sites, in units of the cell vectors:
Pt 0.7500 0.8650 0.8767
Pt 0.7500 0.6350 0.3767
Pt 0.2500 0.3650 0.6233
Pt 0.2500 0.1350 0.1233
Sr 0.7500 0.1978 0.2765
Sr 0.2500 0.0492 0.8848
Sr 0.7500 0.3022 0.7765
Sr 0.7500 0.6232 0.9433
Sr 0.7500 0.9508 0.1152
Sr 0.7500 0.8768 0.4433
Sr 0.7500 0.5492 0.6152
Sr 0.2500 0.6978 0.2235
Sr 0.2500 0.4508 0.3848
Sr 0.2500 0.8022 0.7235
Sr 0.2500 0.3768 0.0567
Sr 0.2500 0.1232 0.5567
Sb 0.2500 0.4937 0.8013
Sb 0.7500 0.9937 0.6987
Sb 0.2500 0.0063 0.3013
Sb 0.7500 0.1923 0.0168
Sb 0.2500 0.6923 0.4832
Sb 0.7500 0.3077 0.5168
Sb 0.7500 0.5063 0.1987
Sb 0.2500 0.8077 0.9832

Computed properties:
calculated volume: 775 Å³/cell
final energy: -4.232 eV/atom
total magnetization: 0.0000 μB per atom
formation energy (no corrections): -1.010 eV per atom

=====

SrSb4Pt6 | GGA-PBE | relaxed

Cell lengths 7.0136, 7.0136, 7.0136 Å; angles 88.92, 120.63, 120.63 degrees
Sites, in units of the cell vectors:
Pt 0.5000 0.5000 0.0000
Pt 0.5000 0.0000 0.5000
Pt 0.0000 0.4508 0.7775
Pt 0.0000 0.7775 0.4508
Pt 0.6733 0.2225 0.2225
Pt 0.3267 0.5492 0.5492
Sb 0.4237 0.8691 0.8691
Sb 0.0000 0.5545 0.1309
Sb 0.0000 0.1309 0.5545
Sb 0.5763 0.4455 0.4455
Sr 0.0000 0.0000 0.0000

Computed properties:
calculated volume: 242 Å³/cell
final energy: -5.424 eV/atom
total magnetization: 0.0000 μB per atom
formation energy (no corrections): -0.477 eV per atom

=====

SrSbPt2 | GGA-PBE | relaxed

Cell lengths 3.5461, 3.5295, 7.9834 Å; angles 63.78, 90.00, 90.00 degrees
Sites, in units of the cell vectors:
Pt 0.0000 0.5452 0.4546
Pt 0.0000 0.9548 0.0454
Sb 0.5000 0.2500 0.2500
Sr 0.5000 0.7500 0.7500

Computed properties:
calculated volume: 90 Å³/cell
final energy: -4.911 eV/atom
total magnetization: 0.0000 μB per atom
formation energy (no corrections): -0.440 eV per atom

=====

Sr2TbSb4Pt3 | GGA-PBE | relaxed

Cell lengths 4.6582, 4.6582, 11.8890 Å; angles 90.00, 90.00, 90.00 degrees
Sites, in units of the cell vectors:
Pt 0.0000 0.0000 0.5000
Pt 0.0000 0.5000 0.1194
Pt 0.5000 0.0000 0.8806
Sr 0.5000 0.0000 0.2356
Sr 0.0000 0.5000 0.7644
Sb 0.5000 0.5000 0.0000
Sb 0.5000 0.0000 0.6541
Sb 0.0000 0.0000 0.0000
Sb 0.0000 0.5000 0.3459
Tb 0.5000 0.5000 0.5000

Computed properties:
calculated volume: 258 Å³/cell
final energy: -5.103 eV/atom
total magnetization: 0.0000 μB per atom
formation energy (no corrections): -0.843 eV per atom

=====

SrSb2TePt | GGA-PBE | relaxed

Cell lengths 5.9513, 5.9513, 5.8555 Å; angles 90.00, 90.00, 90.00 degrees
Sites, in units of the cell vectors:
Sb 0.5000 0.0000 0.0000
Sb 0.0000 0.5000 0.0000
Te 0.0000 0.0000 0.5000
Sr 0.0000 0.0000 0.0000
Pt 0.5000 0.5000 0.5000

Computed properties:
calculated volume: 207 Å³/cell
final energy: -2.567 eV/atom
total magnetization: 0.0000 μB per atom
ΔE to the lowest computed polymorph: 7.73 eV per formula unit
formation energy (no corrections): 1.255 eV per atom